DFT (PBE) results for crystalline BeTl2Te at its relaxed geometry.

Cell and atoms, written as POSCAR:
```
BeTl2Te
1.0
8.568 -0.023 0.026
7.816 3.509 0.026
0.794 0.169 3.623
Be Tl Te
1 2 1
Cartesian
12.883 2.741 2.755
1.994 0.424 3.348
7.389 1.572 2.112
4.294 0.914 0.918
```

Values from the calculation:
ΔE to the lowest computed polymorph: 0.146 eV/atom
formation energy (no corrections): 0.1617 eV per atom
density: 8.272 g/cm³
energy: -11.0 eV for the cell shown
SG: No. 71

DFT (PBE) results for crystalline GaGe3Au at its relaxed geometry.

Cell and atoms, written as POSCAR:
```
GaGe3Au
1.0
4.894 0.000 0.000
0.000 4.894 0.000
0.000 0.000 4.894
Au Ge Ga
1 3 1
Cartesian
2.447 2.447 2.447
0.000 2.447 0.000
2.447 0.000 0.000
0.000 0.000 2.447
0.000 0.000 0.000
```

Values from the calculation:
ΔE to the lowest computed polymorph: 0.046 eV/atom
density: 6.865 g/cm³
energy: -16.7 eV for the cell shown
energy of formation from the pure elements: 0.6866 eV/atom
SG: No. 221

DFT (PBE) results for crystalline Be3TlMo at its relaxed geometry.

Cell and atoms, written as POSCAR:
```
Be3TlMo
1.0
4.357 0.000 0.000
0.000 4.357 0.000
0.000 0.000 4.357
Mo Be Tl
1 3 1
Cartesian
2.178 2.178 2.178
0.000 0.000 2.178
0.000 2.178 0.000
2.178 0.000 0.000
0.000 0.000 0.000
```

Values from the calculation:
ΔE to the lowest computed polymorph: 0.504 eV/atom
density: 6.573 g/cm³
energy: -15.7 eV for the cell shown
energy of formation from the pure elements: 1.7361 eV/atom
SG: No. 221

DFT (PBE) results for crystalline SmDy6Tl2 at its relaxed geometry.

Cell and atoms, written as POSCAR:
```
SmDy6Tl2
1.0
-3.192 -0.764 -1.815
1.062 -5.681 -3.352
-4.147 -8.607 7.042
Sm Dy Tl
1 6 2
Cartesian
0.000 0.000 0.000
-4.094 -10.606 3.914
-2.405 -7.469 3.499
-3.717 -5.263 1.003
-2.184 -4.446 -2.038
-2.560 -9.788 0.872
-3.873 -7.582 -1.624
-1.955 -2.489 0.611
-4.323 -12.562 1.264
```

Values from the calculation:
ΔE to the lowest computed polymorph: 0.000 eV/atom
density: 9.290 g/cm³
energy: -38.4 eV for the cell shown
energy of formation from the pure elements: -0.1444 eV/atom
SG: No. 12

DFT (PBE) results for crystalline Zr2CoSi at its relaxed geometry.

Cell and atoms, written as POSCAR:
```
Zr2CoSi
1.0
5.960 -0.018 -0.011
4.693 3.675 -0.011
4.693 1.611 3.303
Zr Co Si
2 1 1
Cartesian
3.481 1.195 0.744
0.456 0.157 0.098
6.779 2.327 1.449
12.303 4.223 2.630
```

Values from the calculation:
formation energy (no corrections): -0.4737 eV per atom
density: 6.143 g/cm³
energy: -31.5 eV for the cell shown
SG: No. 160

DFT (PBE) results for crystalline BaTiAg2Cl8 at its relaxed geometry.

Cell and atoms, written as POSCAR:
```
BaTiAg2Cl8
1.0
6.404 -0.470 -0.012
-0.462 6.954 1.171
0.059 1.607 8.507
Cl Ti Ag Ba
8 1 2 1
Cartesian
3.306 5.757 5.621
2.695 2.335 4.045
3.945 5.272 1.041
2.056 2.820 8.625
0.590 6.967 8.270
5.786 2.432 6.561
5.411 1.125 1.396
0.215 5.660 3.104
0.000 0.000 0.000
3.196 3.272 6.424
2.805 4.820 3.242
0.029 0.804 4.253
```

Values from the calculation:
formation energy (no corrections): -1.3906 eV per atom
density: 3.115 g/cm³
energy: -47.0 eV for the cell shown
SG: No. 2